Here is NaLiMgPb2 after structural relaxation from Alexandria via LeMat-Bulk. Energies are from PBE-GGA.

a = 5.5152 Å, b = 5.6212 Å, c = 5.5152 Å
α = 90.00°, β = 90.00°, γ = 90.00°
With the nearest neighbours (Å) after each atom.
Element x y z (fractional)
Pb 0.0000 0.0000 0.5000  2 Mg 2.76
Pb 0.5000 0.0000 0.0000  2 Mg 2.76
Na 0.0000 0.5000 0.0000  2 Mg 2.81
Mg 0.0000 0.0000 0.0000  4 Pb 2.76, 2 Na 2.81
Li 0.5000 0.5000 0.5000  4 Na 3.90, 8 Pb 3.94

## Properties
E in eV per atom: -2.2011
D(E_F) in states/eV/atom: 0.53
Symmetry: P4/mmm, No. 123